Computed, not measured: a geometry-optimized GdYGe2 structure at the PBE level of DFT.

Unit cell a=9.7150 b=9.7150 c=5.4573 alpha=90.00 beta=90.00 gamma=155.87
Atoms (fractional coordinates):
Gd: 0.0806 0.9194 0.2500
Gd: 0.9194 0.0806 0.7500
Ge: 0.5408 0.4592 0.7500
Ge: 0.3112 0.6888 0.7500
Ge: 0.6888 0.3112 0.2500
Ge: 0.4592 0.5408 0.2500
Y: 0.2971 0.7029 0.2500
Y: 0.7029 0.2971 0.7500

Values from the calculation:
Energy above the most stable polymorph in this dataset = 0 meV/atom

Computed, not measured: a geometry-optimized Gd2Y2Ge structure at the PBE level of DFT.

Unit cell a=12.9282 b=12.9282 c=12.9282 alpha=16.44 beta=16.44 gamma=16.44
Atoms (fractional coordinates):
Gd: 0.7963 0.7963 0.7963
Gd: 0.2037 0.2037 0.2037
Y: 0.3838 0.3838 0.3838
Y: 0.6162 0.6162 0.6162
Ge: 0.0000 0.0000 0.0000

Computed, not measured: a geometry-optimized GdYGe structure at the PBE level of DFT.

Unit cell a=4.9122 b=4.9122 c=4.9122 alpha=60.00 beta=60.00 gamma=60.00
Atoms (fractional coordinates):
Ge: 0.0000 0.0000 0.0000
Y: 0.7500 0.7500 0.7500
Gd: 0.2500 0.2500 0.2500

Computed, not measured: a geometry-optimized GdYGe structure at the PBE level of DFT.

Unit cell a=8.6244 b=8.6244 c=8.6244 alpha=150.30 beta=150.30 gamma=42.50
Last column: magnetic moment on the atom in μB.
Atoms (fractional coordinates):
Y: 0.0000 0.5000 0.5000  0.06
Y: 0.5000 0.0000 0.5000  0.08
Ge: 0.8659 0.8659 0.0000  -0.01
Ge: 0.1341 0.1341 0.0000  -0.01
Gd: 0.3195 0.3195 0.0000  0.13
Gd: 0.6805 0.6805 0.0000  0.13

no.,DFT total energy (eV/atom)
1,-5.68
2,-5.56
3,-5.81
4,-5.88